(1)
Here is crystalline Mg4HgPb3 at its relaxed geometry from Alexandria. Energies are from PBE.

Cell and atoms, written as CIF:
```
data_Mg4HgPb3
_chemical_formula_sum 'Mg4 Hg1 Pb3'
_space_group_name_H-M_alt 'P 4/m m m'
_space_group_IT_number 123
_space_group_name_Hall '-P 4 2'
_cell_length_a 3.460
_cell_length_b 3.460
_cell_length_c 16.657
_cell_angle_alpha 90.00
_cell_angle_beta 90.00
_cell_angle_gamma 90.00
loop_
_atom_site_label
_atom_site_fract_x
_atom_site_fract_y
_atom_site_fract_z
Mg1 0.000 0.000 0.107
Mg2 0.000 0.000 0.370
Hg1 0.500 0.500 0.000
Pb1 0.500 0.500 0.239
Pb2 0.500 0.500 0.500
```

## Properties
Crystal system: tetragonal
Magnetization, μB/atom: 0.000
Relative energy among the computed polymorphs, meV/atom: 0



(2)
Here is crystalline Mg2Hg7Pb2 at its relaxed geometry from Alexandria. Energies are from PBE.

Cell and atoms, written as CIF:
```
data_Mg2Hg7Pb2
_chemical_formula_sum 'Mg4 Hg14 Pb4'
_space_group_name_H-M_alt 'C 1 2/m 1'
_space_group_IT_number 12
_cell_length_a 11.209
_cell_length_b 10.051
_cell_length_c 5.746
_cell_angle_alpha 90.00
_cell_angle_beta 118.61
_cell_angle_gamma 90.00
loop_
_space_group_symop_operation_xyz
'x,y,z'
'-x,-y,-z'
'-x,y,-z'
'x,-y,z'
'x+1/2,y+1/2,z'
'-x+1/2,-y+1/2,-z'
'-x+1/2,y+1/2,-z'
'x+1/2,-y+1/2,z'
loop_
_atom_site_label
_atom_site_fract_x
_atom_site_fract_y
_atom_site_fract_z
Mg1 0.216 0.000 0.470
Hg1 0.000 0.500 0.500
Hg2 0.092 0.000 0.866
Hg3 0.180 0.253 0.686
Pb1 0.000 0.332 0.000
```

## Properties
Energy, eV per atom: -1.188
Crystal system: monoclinic
Magnetization, μB/atom: 0.000



> Which value of magnetization does entry 1 give?

0.000 μB/atom